SrPAu2 after structural relaxation. Source: Alexandria, functional PBE-GGA.

## Properties
space-group type: Pmmm
energy of formation from the pure elements: -492 meV/atom

a b c (Å): 4.313 4.328 5.344
angles (deg): 90.00 90.00 90.00
Positions (direct):
Sr (0.000, 0.000, 0.000)
P (0.500, 0.000, 0.500)
Au (0.500, 0.500, 0.248)
Au (0.500, 0.500, 0.752)